[1]
Rb2AlTe4: optimized geometry, PBE.

Output
The uncorrected formation energy is -2.90 eV per formula unit. Its magnetic moment is 0.000 μB/atom. Its mass density is 4.11 g cm⁻³.

abc: 5.6106 5.6106 18.1681
angles: 90.00 90.00 90.00
Last column: nearest neighbours and their distance in Å.
Space group I4/mmm (No. 139)
One atom of each set of equivalent atoms:
Rb: 0.0000 0.0000 0.1461 (multiplicity 4)  9 Te 3.81-3.97
Al: 0.0000 0.0000 0.5000 (multiplicity 2)  6 Te 2.62-2.81
Te: 0.0000 0.0000 0.3556 (multiplicity 4)  1 Al 2.62
Te: 0.0000 0.5000 0.0000 (multiplicity 4)  2 Al 2.81



[2]
TbWC2: optimized geometry, PBE.

Output
Its magnetic moment is 0.000 μB/atom. For the formation enthalpy at 0 K, the calculation gives -1.085 eV/f.u. Its mass density is 11.50 g cm⁻³. The energy above the lowest structure with this stoichiometry comes out at 0.0 meV per atom.

abc: 5.7444 3.4029 10.8343
angles: 90.00 90.00 90.00
Last column: nearest neighbours and their distance in Å.
Space group Pnma (No. 62)
One atom of each set of equivalent atoms:
Tb: 0.0855 0.2500 0.1372 (multiplicity 4)  7 C 2.47-2.63
W: 0.0956 0.7500 0.3897 (multiplicity 4)  5 C 2.04-2.28
C: 0.1607 0.2500 0.7528 (multiplicity 4)  2 W 2.04-2.13
C: 0.2208 0.2500 0.4833 (multiplicity 4)  3 W 2.11-2.28



[3]
Sr2MgCdH: optimized geometry, PBE.

Output
Its magnetic moment is 0.000 μB/atom. Its mass density is 3.95 g cm⁻³. The energy above the lowest structure with this stoichiometry comes out at 0.0 meV per atom.

abc: 5.3895 5.3895 4.5286
angles: 90.00 90.00 90.00
Last column: nearest neighbours and their distance in Å.
Space group P4/mmm (No. 123)
One atom of each set of equivalent atoms:
Sr: 0.0000 0.5000 0.0000 (multiplicity 2)  2 H 2.69
Mg: 0.0000 0.0000 0.5000 (multiplicity 1)  2 H 2.26
Cd: 0.5000 0.5000 0.5000 (multiplicity 1)  8 Sr 3.52, 4 Mg 3.81
H: 0.0000 0.0000 0.0000 (multiplicity 1)  2 Mg 2.26



[4]
MgOs2Pt: optimized geometry, PBE.

Output
Its magnetic moment is 0.000 μB/atom. For the formation enthalpy at 0 K, the calculation gives 2.842 eV/f.u. Its mass density is 13.69 g cm⁻³.

abc: 7.8009 7.8009 4.7820
angles: 90.00 90.00 90.00
Last column: nearest neighbours and their distance in Å.
Space group I-42d (No. 122)
One atom of each set of equivalent atoms:
Mg: 0.0000 0.0000 0.0000 (multiplicity 4)  2 Pt 2.39
Os: 0.1929 0.2500 0.6250 (multiplicity 8)  2 Pt 2.53, 2 Os 2.55
Pt: 0.0000 0.0000 0.5000 (multiplicity 4)  2 Mg 2.39, 4 Os 2.53